First-principles (PBE) data for an optimized crystal structure of NaAsRu, as listed in Alexandria via LeMat-Bulk.

Properties
- VASP energy: -5.235 eV/atom
- Calculated volume: 17.958 A^3/atom
- Calculated formation energy: -0.154 eV per atom

CIF file:
```
data_NaAsRu
_chemical_formula_sum 'Na2 As2 Ru2'
_cell_length_a 2.984
_cell_length_b 5.364
_cell_length_c 7.457
_cell_angle_alpha 109.27
_cell_angle_beta 90.09
_cell_angle_gamma 105.97
_space_group_name_H-M_alt 'P -1'
_space_group_IT_number 2
_space_group_name_Hall '-P 1'
loop_
_atom_site_label
_atom_site_type_symbol
_atom_site_fract_x
_atom_site_fract_y
_atom_site_fract_z
Na1 Na 0.155 0.312 0.120
As1 As 0.455 0.910 0.284
Ru1 Ru 0.138 0.277 0.507
```